Entry 1:
CsGa2Ag2 | PBE-GGA | optimized geometry

## Properties
The calculation puts the energy above the most stable polymorph in this dataset at 125.7 meV per atom. As for the symmetry: P4/mbm (127). As for the crystal system: tetragonal. Its calculated total energy is -2.368 eV per atom. Its energy relative to the elements is 0.77 eV per formula unit.

abc: 8.720 8.720 3.254
angles: 90.00 90.00 90.00
Fractional coordinates of all 10 atoms:
Cs 0.000 0.000 0.000
Cs 0.500 0.500 0.000
Ga 0.114 0.386 0.000
Ga 0.386 0.886 0.000
Ga 0.614 0.114 0.000
Ga 0.886 0.614 0.000
Ag 0.162 0.662 0.500
Ag 0.338 0.162 0.500
Ag 0.662 0.838 0.500
Ag 0.838 0.338 0.500


Entry 2:
CsGa2AgH8 | PBE-GGA | optimized geometry

## Properties
As for the symmetry: R-3 (148). As for the crystal system: trigonal. Its calculated total energy is -3.063 eV per atom.

abc: 8.284 8.284 8.284
angles: 37.15 37.15 37.15
Fractional coordinates of all 12 atoms:
Cs 0.000 0.000 0.000
Ga 0.239 0.239 0.239
Ga 0.761 0.761 0.761
Ag 0.500 0.500 0.500
H 0.103 0.531 0.714
H 0.286 0.897 0.469
H 0.308 0.308 0.308
H 0.469 0.286 0.897
H 0.531 0.714 0.103
H 0.692 0.692 0.692
H 0.714 0.103 0.531
H 0.897 0.469 0.286


Entry 3:
Cs2GaAgHg | PBE-GGA | optimized geometry

## Properties
As for the symmetry: P4/mmm (123). As for the crystal system: tetragonal. Its calculated total energy is -1.542 eV per atom. Its energy relative to the elements is 0.18 eV per formula unit.

abc: 7.140 7.140 4.971
angles: 90.00 90.00 90.00
Fractional coordinates of all 5 atoms:
Cs 0.000 0.500 0.000
Cs 0.500 0.000 0.000
Ga 0.000 0.000 0.500
Ag 0.000 0.000 0.000
Hg 0.500 0.500 0.500


Entry 4:
CsGaAgI3 | PBE-GGA | optimized geometry

## Properties
As for the symmetry: P2_1/m (11). As for the crystal system: monoclinic. Its calculated total energy is -2.585 eV per atom.

abc: 9.798 4.759 12.462
angles: 90.00 108.83 90.00
Fractional coordinates of all 12 atoms:
Cs 0.244 0.250 0.214
Cs 0.756 0.750 0.786
Ga 0.442 0.750 0.937
Ga 0.558 0.250 0.063
Ag 0.161 0.250 0.562
Ag 0.839 0.750 0.438
I 0.132 0.750 0.421
I 0.167 0.750 0.953
I 0.411 0.250 0.751
I 0.589 0.750 0.249
I 0.833 0.250 0.047
I 0.868 0.250 0.579


Entry 5:
CsGa2AgIr | PBE-GGA | optimized geometry

## Properties
As for the symmetry: P4/mmm (123). As for the crystal system: tetragonal. Its calculated total energy is -3.857 eV per atom. Its energy relative to the elements is -0.67 eV per formula unit.

abc: 4.862 4.862 5.594
angles: 90.00 90.00 90.00
Fractional coordinates of all 5 atoms:
Cs 0.000 0.000 0.000
Ga 0.000 0.500 0.500
Ga 0.500 0.000 0.500
Ag 0.500 0.500 0.000
Ir 0.500 0.500 0.500


Entry 6:
Cs2KGaAg | PBE-GGA | optimized geometry

## Properties
The calculation puts the energy above the most stable polymorph in this dataset at 0.0 meV per atom. As for the symmetry: P4/mmm (123). As for the crystal system: tetragonal. Its calculated total energy is -1.618 eV per atom. Its energy relative to the elements is 0.59 eV per formula unit.

abc: 7.425 7.425 5.102
angles: 90.00 90.00 90.00
Fractional coordinates of all 5 atoms:
Cs 0.000 0.500 0.000
Cs 0.500 0.000 0.000
K 0.000 0.000 0.500
Ga 0.500 0.500 0.500
Ag 0.500 0.500 0.000


Entry 7:
CsLaGaAg2 | PBE-GGA | optimized geometry

## Properties
As for the symmetry: P4/mmm (123). As for the crystal system: tetragonal. Its calculated total energy is -2.528 eV per atom. Its energy relative to the elements is 1.87 eV per formula unit.

abc: 6.030 6.030 5.929
angles: 90.00 90.00 90.00
Fractional coordinates of all 5 atoms:
Cs 0.000 0.000 0.000
La 0.500 0.500 0.500
Ga 0.500 0.500 0.000
Ag 0.000 0.500 0.500
Ag 0.500 0.000 0.500


Entry 8:
CsLiGaAg2 | PBE-GGA | optimized geometry

## Properties
As for the symmetry: P4/mmm (123). As for the crystal system: tetragonal. Its calculated total energy is -2.234 eV per atom. Its energy relative to the elements is 0.33 eV per formula unit.

abc: 5.194 5.194 5.366
angles: 90.00 90.00 90.00
Fractional coordinates of all 5 atoms:
Cs 0.000 0.000 0.000
Li 0.500 0.500 0.000
Ga 0.500 0.500 0.500
Ag 0.000 0.500 0.500
Ag 0.500 0.000 0.500


| no. | DOS at the Fermi energy (states/eV per atom) |
| --- | --- |
| 1 | 0.314 |
| 2 | 0.000 |
| 3 | 0.944 |
| 4 | 0.000 |
| 5 | 0.334 |
| 6 | 0.935 |
| 7 | 1.016 |
| 8 | 0.599 |